FeBW3: relaxed, PBE.

Cell lengths 4.4021, 4.4021, 4.4021 Å; angles 90.00, 90.00, 90.00 degrees
Closest atoms and distances in Å follow each position.
Space group Pm-3m (No. 221)
One atom of each set of equivalent atoms:
Fe1 0.0000 0.0000 0.0000 [1 per cell]  6 W 2.20
B1 0.5000 0.5000 0.5000 [1 per cell]  12 W 3.11
W1 0.0000 0.0000 0.5000 [3 per cell]  2 Fe 2.20

Values from the calculation:
The calculation puts the offset from the most stable computed form at 1.636 eV per atom. The value obtained for the formation enthalpy at 0 K is 2112 meV per atom. Its uncorrected energy is -8.688 eV/atom.

FeBW: relaxed, PBE.

Cell lengths 5.8252, 3.1803, 6.7808 Å; angles 90.00, 90.00, 90.00 degrees
Closest atoms and distances in Å follow each position.
Space group Pnma (No. 62)
One atom of each set of equivalent atoms:
Fe1 0.1428 0.2500 0.0567 [4 per cell]  4 B 2.12-2.26
B1 0.2346 0.7500 0.8667 [4 per cell]  4 Fe 2.12-2.26, 2 W 2.36
W1 0.0297 0.2500 0.6740 [4 per cell]  5 B 2.36-2.50, 4 Fe 2.61-2.62

Values from the calculation:
The value obtained for the formation enthalpy at 0 K is -366 meV per atom. Its uncorrected energy is -9.730 eV/atom.

FeBW: relaxed, PBE.

Cell lengths 3.0366, 4.7694, 8.7128 Å; angles 90.00, 90.00, 90.00 degrees
Closest atoms and distances in Å follow each position.
Space group Immm (No. 71)
One atom of each set of equivalent atoms:
Fe1 0.0000 0.2480 0.0000 [4 per cell]  4 B 2.12, 1 Fe 2.37
B1 0.0000 0.5000 0.3984 [4 per cell]  1 B 1.77
W1 0.0000 0.0000 0.2932 [4 per cell]  2 B 2.26

Values from the calculation:
The value obtained for the formation enthalpy at 0 K is -289 meV per atom. Its uncorrected energy is -9.653 eV/atom.

Fe2B4W: relaxed, PBE.

Cell lengths 2.9834, 3.1119, 12.5699 Å; angles 90.00, 90.00, 90.00 degrees
Closest atoms and distances in Å follow each position.
Space group Immm (No. 71)
One atom of each set of equivalent atoms:
Fe1 0.0000 0.0000 0.1839 [4 per cell]  7 B 2.06-2.19
B1 0.0000 0.0000 0.3474 [4 per cell]  2 B 1.79
B2 0.0000 0.5000 0.0746 [4 per cell]  3 B 1.79-1.87
W1 0.0000 0.5000 0.5000 [2 per cell]  12 B 2.35-2.47

Values from the calculation:
The value obtained for the formation enthalpy at 0 K is -341 meV per atom. Its uncorrected energy is -8.425 eV/atom.